VASP calculation (GGA-PBE) on Zn2OsCl after structural relaxation.

symmetry: Cmmm, No. 65

Cell: 2.961 2.961 8.167 Å, 90.00 90.00 115.40°
Sites, in units of the cell vectors:
Cl  0.500  0.500  0.250
Os  0.500  0.500  0.750
Zn  0.000  0.000  0.992
Zn  0.000  0.000  0.508



VASP calculation (GGA-PBE) on ZnOsCl after structural relaxation.

symmetry: F-43m, No. 216

Cell: 4.238 4.238 4.238 Å, 60.00 60.00 60.00°
Sites, in units of the cell vectors:
Cl  0.500  0.500  0.500
Os  0.750  0.750  0.750
Zn  0.000  0.000  0.000



VASP calculation (GGA-PBE) on Zn2OsCl after structural relaxation.

symmetry: Imm2, No. 44

Cell: 6.683 6.683 6.683 Å, 155.43 141.95 45.82°
Sites, in units of the cell vectors:
Cl  0.422  0.422  0.000
Os  0.259  0.759  0.500
Zn  0.086  0.086  0.000
Zn  0.733  0.233  0.500



VASP calculation (GGA-PBE) on Zn4OsCl after structural relaxation.

symmetry: F-43m, No. 216

Cell: 5.083 5.083 5.083 Å, 60.00 60.00 60.00°
Sites, in units of the cell vectors:
Zn  0.878  0.374  0.374
Zn  0.374  0.374  0.878
Zn  0.374  0.878  0.374
Zn  0.374  0.374  0.374
Os  0.000  0.000  0.000
Cl  0.750  0.750  0.750



VASP calculation (GGA-PBE) on Zn2OsCl after structural relaxation.

symmetry: I4/mmm, No. 139

Cell: 5.028 5.028 5.028 Å, 135.98 135.98 64.01°
Sites, in units of the cell vectors:
Cl  0.250  0.750  0.500
Os  0.750  0.250  0.500
Zn  0.000  0.000  0.000
Zn  0.500  0.500  0.000



VASP calculation (GGA-PBE) on ZnOs3Cl after structural relaxation.

symmetry: Pm-3m, No. 221

Cell: 4.635 4.635 4.635 Å, 90.00 90.00 90.00°
Sites, in units of the cell vectors:
Zn  0.000  0.000  0.000
Os  0.000  0.500  0.000
Os  0.000  0.000  0.500
Os  0.500  0.000  0.000
Cl  0.500  0.500  0.500



VASP calculation (GGA-PBE) on Zn2OsCl after structural relaxation.

symmetry: P4/mmm, No. 123

Cell: 2.976 2.976 7.341 Å, 90.00 90.00 90.00°
Sites, in units of the cell vectors:
Cl  0.500  0.500  0.250
Os  0.500  0.500  0.750
Zn  0.000  0.000  0.972
Zn  0.000  0.000  0.528



VASP calculation (GGA-PBE) on ZnOs2Cl after structural relaxation.

symmetry: Cm, No. 8

Cell: 4.253 4.253 7.673 Å, 63.51 63.51 39.02°
Sites, in units of the cell vectors:
Cl  0.276  0.276  0.239
Os  0.941  0.941  0.927
Os  0.739  0.739  0.777
Zn  0.545  0.545  0.557



VASP calculation (GGA-PBE) on ZnOsCl4 after structural relaxation.

symmetry: F-43m, No. 216

Cell: 5.778 5.778 5.778 Å, 60.00 60.00 60.00°
Sites, in units of the cell vectors:
Zn  0.000  0.000  0.000
Os  0.750  0.750  0.750
Cl  0.873  0.376  0.376
Cl  0.376  0.376  0.873
Cl  0.376  0.873  0.376
Cl  0.376  0.376  0.376



VASP calculation (GGA-PBE) on Zn2OsCl after structural relaxation.

symmetry: C2/m, No. 12

Cell: 6.388 6.388 4.294 Å, 69.77 69.77 24.63°
Sites, in units of the cell vectors:
Cl  0.750  0.750  0.750
Os  0.250  0.250  0.250
Zn  0.950  0.950  0.053
Zn  0.550  0.550  0.447



VASP calculation (GGA-PBE) on Zn2OsCl after structural relaxation.

symmetry: Pmmm, No. 47

Cell: 2.762 4.501 4.986 Å, 90.00 90.00 90.00°
Sites, in units of the cell vectors:
Cl  0.500  0.000  0.500
Os  0.000  0.500  0.500
Zn  0.000  0.000  0.000
Zn  0.500  0.500  0.000



VASP calculation (GGA-PBE) on ZnOs3Cl after structural relaxation.

symmetry: Pm-3m, No. 221

Cell: 4.348 4.348 4.348 Å, 90.00 90.00 90.00°
Sites, in units of the cell vectors:
Zn  0.500  0.500  0.500
Os  0.000  0.500  0.000
Os  0.000  0.000  0.500
Os  0.500  0.000  0.000
Cl  0.000  0.000  0.000



VASP calculation (GGA-PBE) on ZnOs2Cl after structural relaxation.

symmetry: Imm2, No. 44

Cell: 5.500 5.500 5.500 Å, 150.16 131.49 58.00°
Sites, in units of the cell vectors:
Cl  0.777  0.277  0.500
Os  0.003  0.003  0.000
Os  0.226  0.726  0.500
Zn  0.494  0.494  0.000



VASP calculation (GGA-PBE) on ZnOsCl after structural relaxation.

symmetry: I4mm, No. 107

Cell: 6.306 6.306 6.306 Å, 152.80 152.80 38.85°
Sites, in units of the cell vectors:
Cl  0.975  0.975  0.000
Os  0.326  0.326  0.000
Zn  0.699  0.699  0.000



VASP calculation (GGA-PBE) on Zn2OsCl after structural relaxation.

symmetry: P4mm, No. 99

Cell: 3.357 3.357 7.281 Å, 90.00 90.00 90.00°
Sites, in units of the cell vectors:
Cl  0.000  0.000  0.403
Os  0.500  0.500  0.889
Zn  0.000  0.000  0.980
Zn  0.500  0.500  0.228



VASP calculation (GGA-PBE) on ZnOs2Cl after structural relaxation.

symmetry: I-42d, No. 122

Cell: 5.735 5.735 6.168 Å, 62.30 62.30 90.00°
Sites, in units of the cell vectors:
Zn  0.000  0.000  0.000
Zn  0.750  0.250  0.500
Os  0.584  0.125  0.250
Os  0.166  0.625  0.250
Os  0.375  0.416  0.750
Os  0.875  0.834  0.750
Cl  0.500  0.500  0.000
Cl  0.250  0.750  0.500



VASP calculation (GGA-PBE) on ZnOs2Cl after structural relaxation.

symmetry: Cmm2, No. 35

Cell: 2.890 2.890 8.716 Å, 90.00 90.00 121.09°
Sites, in units of the cell vectors:
Cl  0.500  0.500  0.744
Os  0.000  0.000  0.006
Os  0.500  0.500  0.247
Zn  0.000  0.000  0.502



VASP calculation (GGA-PBE) on ZnOs2Cl after structural relaxation.

symmetry: Fm-3m, No. 225

Cell: 4.329 4.329 4.329 Å, 60.00 60.00 60.00°
Sites, in units of the cell vectors:
Zn  0.500  0.500  0.500
Os  0.250  0.250  0.250
Os  0.750  0.750  0.750
Cl  0.000  0.000  0.000



VASP calculation (GGA-PBE) on Zn2OsCl after structural relaxation.

symmetry: Pmm2, No. 25

Cell: 2.740 4.539 5.376 Å, 90.00 90.00 90.00°
Sites, in units of the cell vectors:
Cl  0.000  0.000  0.408
Os  0.500  0.500  0.843
Zn  0.000  0.000  0.924
Zn  0.500  0.500  0.326



VASP calculation (GGA-PBE) on Zn2OsCl after structural relaxation.

symmetry: R-3m, No. 166

Cell: 8.169 8.169 8.169 Å, 21.45 21.45 21.45°
Sites, in units of the cell vectors:
Cl  0.250  0.250  0.250
Os  0.750  0.750  0.750
Zn  0.002  0.002  0.002
Zn  0.498  0.498  0.498



no.,calculated total energy (eV per atom),formation energy (no corrections) (eV per atom)
1,-3.6397,0.2664
2,-3.6097,1.1737
3,-3.6245,0.2816
4,-2.5209,0.5078
5,-3.1734,0.7327
6,-4.7488,2.6132
7,-3.7076,0.1984
8,-5.8938,0.5013
9,-1.8424,1.4726
10,-3.3307,0.5754
11,-3.2448,0.6613
12,-5.4680,1.8940
13,-5.4489,0.9461
14,-4.0956,0.6879
15,-3.4572,0.4489
16,-4.6849,1.7101
17,-5.7901,0.6049
18,-5.1180,1.2770
19,-3.4347,0.4714
20,-3.7289,0.1772